No. 1
Density functional theory data (PBEsol) for an optimized crystal structure of AlFe4Mo.

Unit cell a=4.6422 b=4.6422 c=4.6422 alpha=60.00 beta=60.00 gamma=60.00
Closest atoms and distances in Å follow each position.
Atoms (fractional coordinates):
1 Al 0.0000 0.0000 0.0000  12 Fe 2.72, 4 Mo 2.84
2 Fe 0.3748 0.3748 0.3748  6 Fe 2.32
3 Fe 0.3748 0.3748 0.8756  6 Fe 2.32
4 Fe 0.3748 0.8756 0.3748  6 Fe 2.32
5 Fe 0.8756 0.3748 0.3748  6 Fe 2.32
6 Mo 0.7500 0.7500 0.7500  12 Fe 2.72, 4 Al 2.84

Computed properties:
Energy relative to the elements ... -0.104 eV per atom

***

No. 2
Density functional theory data (PBEsol) for an optimized crystal structure of AlFeMo2.

Unit cell a=2.6455 b=4.2416 c=4.9803 alpha=90.00 beta=99.18 gamma=90.00
Closest atoms and distances in Å follow each position.
Atoms (fractional coordinates):
1 Al 0.0000 0.0000 0.0000  2 Fe 2.52, 4 Mo 2.63-2.70, 2 Al 2.65
2 Fe 0.8162 0.5000 0.2419  4 Mo 2.52-2.73, 2 Al 2.52, 2 Fe 2.65
3 Mo 0.3635 0.5000 0.7558  2 Fe 2.52-2.73, 4 Mo 2.61-2.65, 2 Al 2.70
4 Mo 0.5626 0.0000 0.4860  2 Fe 2.59, 4 Mo 2.61-2.65, 3 Al 2.63-2.84

Computed properties:
Energy relative to the elements ... -0.013 eV per atom

***

No. 3
Density functional theory data (PBEsol) for an optimized crystal structure of Na6Al4FeSi8O26.

Unit cell a=8.0009 b=8.4932 c=10.6421 alpha=111.08 beta=90.02 gamma=118.10
Closest atoms and distances in Å follow each position.
Atoms (fractional coordinates):
1 Na 0.0000 0.0000 0.0000  5 O 2.28-2.55
2 Na 0.0693 0.1367 0.6679  5 O 2.28-2.55
3 Na 0.2607 0.5280 0.2766  5 O 2.38-2.64
4 Na 0.3695 0.7664 0.9529  5 O 2.31-2.55
5 Na 0.6708 0.3703 0.7148  5 O 2.31-2.55
6 Na 0.8014 0.6087 0.3912  5 O 2.38-2.65
7 Al 0.2738 0.9530 0.4873  4 O 1.74-1.76
8 Al 0.3888 0.1838 0.1806  4 O 1.74-1.76
9 Al 0.6810 0.7725 0.1801  4 O 1.74-1.76
10 Al 0.9768 0.3639 0.4876  4 O 1.74-1.76
11 Fe 0.5080 0.0684 0.8339  4 O 1.99-2.01
12 Si 0.0599 0.7703 0.7022  4 O 1.61-1.69
13 Si 0.0723 0.7683 0.1814  4 O 1.62-1.66
14 Si 0.3572 0.3660 0.9654  4 O 1.61-1.69
15 Si 0.3726 0.3687 0.4865  4 O 1.62-1.66
16 Si 0.6665 0.9530 0.4882  4 O 1.62-1.66
17 Si 0.6759 0.7742 0.7019  4 O 1.59-1.66
18 Si 0.7815 0.1836 0.1795  4 O 1.62-1.66
19 Si 0.9697 0.3629 0.9661  4 O 1.59-1.66
20 O 0.0819 0.6035 0.0432  2 Si 1.65-1.66
21 O 0.1034 0.8513 0.5802  1 Si 1.64, 1 Al 1.76
22 O 0.1382 0.3179 0.8993  2 Si 1.66-1.69
23 O 0.1757 0.9685 0.1581  1 Si 1.62, 1 Al 1.75
24 O 0.1840 0.7801 0.3155  1 Si 1.63, 1 Al 1.76
25 O 0.2183 0.4383 0.4735  1 Si 1.62, 1 Al 1.75
26 O 0.2382 0.8752 0.8286  1 Si 1.61
27 O 0.2763 0.1685 0.5099  1 Si 1.62, 1 Al 1.75
28 O 0.3198 0.2852 0.0875  1 Si 1.64, 1 Al 1.76
29 O 0.4298 0.2606 0.8388  1 Si 1.61
30 O 0.4723 0.3569 0.3524  1 Si 1.63, 1 Al 1.76
31 O 0.4892 0.6040 0.0376  1 Si 1.63, 1 Al 1.75
32 O 0.5078 0.0121 0.5452  1 Si 1.62, 1 Al 1.74
33 O 0.5469 0.5335 0.6248  2 Si 1.65-1.66
34 O 0.5637 0.1247 0.1226  1 Si 1.62, 1 Al 1.74
35 O 0.5861 0.7892 0.3304  1 Si 1.63, 1 Al 1.76
36 O 0.5868 0.8709 0.8174  1 Si 1.59
37 O 0.7202 0.8533 0.5783  2 Si 1.65-1.66
38 O 0.7836 0.2668 0.8508  1 Si 1.59
39 O 0.7936 0.9911 0.1586  1 Si 1.62, 1 Al 1.74
40 O 0.8483 0.6984 0.1944  1 Si 1.62, 1 Al 1.75
41 O 0.8651 0.3473 0.3374  1 Si 1.63, 1 Al 1.76
42 O 0.8713 0.1453 0.5091  1 Si 1.62, 1 Al 1.74
43 O 0.8894 0.8189 0.7685  2 Si 1.66-1.69
44 O 0.9348 0.2835 0.0896  2 Si 1.65-1.66
45 O 0.9533 0.5323 0.6299  1 Si 1.63, 1 Al 1.75

Computed properties:
ΔE_f (raw) ... -118.26 eV/f.u.
E above lowest polymorph ... 0 kJ/mol of formula units

***

No. 4
Density functional theory data (PBEsol) for an optimized crystal structure of Na6Al4FeSi8O26.

Unit cell a=8.4890 b=8.4890 c=10.6456 alpha=111.45 beta=111.45 gamma=56.42
Closest atoms and distances in Å follow each position.
Atoms (fractional coordinates):
1 Na 0.0341 0.0341 0.3341  5 O 2.28-2.45
2 Na 0.2296 0.2296 0.9383  5 O 2.43-2.55
3 Na 0.3526 0.3526 0.6226  5 O 2.33-2.49
4 Na 0.6474 0.6474 0.3774  5 O 2.33-2.49
5 Na 0.7704 0.7704 0.0617  5 O 2.43-2.55
6 Na 0.9659 0.9659 0.6659  5 O 2.28-2.45
7 Al 0.2446 0.6432 0.1536  4 O 1.71-1.77
8 Al 0.3568 0.7554 0.8464  4 O 1.71-1.77
9 Al 0.6432 0.2446 0.1536  4 O 1.71-1.77
10 Al 0.7554 0.3568 0.8464  4 O 1.71-1.77
11 Fe 0.5000 0.5000 0.5000  4 O 2.01
12 Si 0.0418 0.6582 0.8445  4 O 1.61-1.66
13 Si 0.0448 0.6596 0.3683  4 O 1.60-1.68
14 Si 0.3404 0.9552 0.6317  4 O 1.60-1.68
15 Si 0.3418 0.9582 0.1555  4 O 1.61-1.66
16 Si 0.6582 0.0418 0.8445  4 O 1.61-1.66
17 Si 0.6596 0.0448 0.3683  4 O 1.60-1.68
18 Si 0.9552 0.3404 0.6317  4 O 1.60-1.68
19 Si 0.9582 0.3418 0.1555  4 O 1.61-1.66
20 O 0.0564 0.4821 0.7074  2 Si 1.65-1.66
21 O 0.0765 0.7059 0.2466  1 Si 1.63, 1 Al 1.76
22 O 0.1328 0.1328 0.5651  2 Si 1.68
23 O 0.1364 0.7662 0.8262  1 Si 1.61, 1 Al 1.76
24 O 0.1432 0.5661 0.9808  1 Si 1.62, 1 Al 1.77
25 O 0.1888 0.1888 0.1487  2 Si 1.66
26 O 0.2258 0.5797 0.4906  1 Si 1.60
27 O 0.2338 0.8636 0.1738  1 Si 1.61, 1 Al 1.76
28 O 0.2941 0.9235 0.7534  1 Si 1.63, 1 Al 1.76
29 O 0.4203 0.7742 0.5094  1 Si 1.60
30 O 0.4339 0.8568 0.0192  1 Si 1.62, 1 Al 1.77
31 O 0.4775 0.4775 0.2105  2 Al 1.71
32 O 0.4821 0.0564 0.7074  2 Si 1.65-1.66
33 O 0.5179 0.9436 0.2926  2 Si 1.65-1.66
34 O 0.5225 0.5225 0.7895  2 Al 1.71
35 O 0.5661 0.1432 0.9808  1 Si 1.62, 1 Al 1.77
36 O 0.5797 0.2258 0.4906  1 Si 1.60
37 O 0.7059 0.0765 0.2466  1 Si 1.63, 1 Al 1.76
38 O 0.7662 0.1364 0.8262  1 Si 1.61, 1 Al 1.76
39 O 0.7742 0.4203 0.5094  1 Si 1.60
40 O 0.8112 0.8112 0.8513  2 Si 1.66
41 O 0.8568 0.4339 0.0192  1 Si 1.62, 1 Al 1.77
42 O 0.8636 0.2338 0.1738  1 Si 1.61, 1 Al 1.76
43 O 0.8672 0.8672 0.4349  2 Si 1.68
44 O 0.9235 0.2941 0.7534  1 Si 1.63, 1 Al 1.76
45 O 0.9436 0.5179 0.2926  2 Si 1.65-1.66

Computed properties:
ΔE_f (raw) ... -117.78 eV/f.u.
E above lowest polymorph ... 46 kJ/mol of formula units

***

No. 5
Density functional theory data (PBEsol) for an optimized crystal structure of Na6Al3Fe3Te4O24.

Unit cell a=10.7283 b=10.7283 c=10.7283 alpha=109.47 beta=109.47 gamma=109.47
Closest atoms and distances in Å follow each position.
Atoms (fractional coordinates):
1 Na 0.1249 0.2500 0.3749  8 O 2.39-2.62
2 Na 0.1251 0.3751 0.7500  8 O 2.39-2.62
3 Na 0.2500 0.3749 0.1249  8 O 2.39-2.62
4 Na 0.2500 0.8751 0.6251  8 O 2.39-2.62
5 Na 0.3749 0.1249 0.2500  8 O 2.39-2.62
6 Na 0.3751 0.7500 0.1251  8 O 2.39-2.62
7 Na 0.6251 0.2500 0.8751  8 O 2.39-2.62
8 Na 0.6249 0.8749 0.7500  8 O 2.39-2.62
9 Na 0.7500 0.1251 0.3751  8 O 2.39-2.62
10 Na 0.7500 0.6249 0.8749  8 O 2.39-2.62
11 Na 0.8751 0.6251 0.2500  8 O 2.39-2.62
12 Na 0.8749 0.7500 0.6249  8 O 2.39-2.62
13 Al 0.1250 0.8750 0.2500  4 O 1.79
14 Al 0.2500 0.1250 0.8750  4 O 1.79
15 Al 0.3750 0.6250 0.7500  4 O 1.79
16 Al 0.6250 0.7500 0.3750  4 O 1.79
17 Al 0.7500 0.3750 0.6250  4 O 1.79
18 Al 0.8750 0.2500 0.1250  4 O 1.79
19 Fe 0.1250 0.7500 0.8750  4 O 1.85
20 Fe 0.2500 0.6250 0.3750  4 O 1.85
21 Fe 0.3750 0.2500 0.6250  4 O 1.85
22 Fe 0.6250 0.3750 0.2500  4 O 1.85
23 Fe 0.7500 0.8750 0.1250  4 O 1.85
24 Fe 0.8750 0.1250 0.7500  4 O 1.85
25 Te 0.9999 0.9999 0.9999  6 O 1.94
26 Te 0.0000 0.0001 0.5000  6 O 1.94
27 Te 0.0001 0.5000 0.0000  6 O 1.94
28 Te 0.0000 0.5001 0.5000  6 O 1.94
29 Te 0.5000 0.0000 0.0001  6 O 1.94
30 Te 0.5000 0.0000 0.5001  6 O 1.94
31 Te 0.5001 0.5000 0.0000  6 O 1.94
32 Te 0.4999 0.4999 0.4999  6 O 1.94
33 O 0.0084 0.1887 0.1132  1 Al 1.79, 1 Te 1.94
34 O 0.0187 0.3247 0.9025  1 Fe 1.85, 1 Te 1.94
35 O 0.0755 0.8868 0.3952  1 Al 1.79, 1 Te 1.94
36 O 0.0778 0.6939 0.6753  1 Fe 1.85, 1 Te 1.94
37 O 0.0975 0.6161 0.4222  1 Fe 1.85, 1 Te 1.94
38 O 0.1048 0.9916 0.6802  1 Al 1.79, 1 Te 1.94
39 O 0.1132 0.0084 0.1887  1 Al 1.79, 1 Te 1.94
40 O 0.1161 0.5975 0.9222  1 Fe 1.85, 1 Te 1.94
41 O 0.1753 0.1939 0.5778  1 Fe 1.85, 1 Te 1.94
42 O 0.1802 0.4916 0.6048  1 Al 1.79, 1 Te 1.94
43 O 0.1887 0.1132 0.0084  1 Al 1.79, 1 Te 1.94
44 O 0.1939 0.5778 0.1753  1 Fe 1.85, 1 Te 1.94
45 O 0.3061 0.4813 0.3839  1 Fe 1.85, 1 Te 1.94
46 O 0.3114 0.3198 0.9245  1 Al 1.79, 1 Te 1.94
47 O 0.3198 0.9245 0.3114  1 Al 1.79, 1 Te 1.94
48 O 0.3247 0.9025 0.0187  1 Fe 1.85, 1 Te 1.94
49 O 0.3839 0.3061 0.4813  1 Fe 1.85, 1 Te 1.94
50 O 0.3868 0.5755 0.8952  1 Al 1.79, 1 Te 1.94
51 O 0.3952 0.0755 0.8868  1 Al 1.79, 1 Te 1.94
52 O 0.4025 0.8247 0.5187  1 Fe 1.85, 1 Te 1.94
53 O 0.4222 0.0975 0.6161  1 Fe 1.85, 1 Te 1.94
54 O 0.4245 0.8198 0.8114  1 Al 1.79, 1 Te 1.94
55 O 0.4813 0.3839 0.3061  1 Fe 1.85, 1 Te 1.94
56 O 0.4916 0.6048 0.1802  1 Al 1.79, 1 Te 1.94
57 O 0.5084 0.6132 0.6886  1 Al 1.79, 1 Te 1.94
58 O 0.5187 0.4025 0.8247  1 Fe 1.85, 1 Te 1.94
59 O 0.5755 0.8952 0.3868  1 Al 1.79, 1 Te 1.94
60 O 0.5778 0.1753 0.1939  1 Fe 1.85, 1 Te 1.94
61 O 0.5975 0.9222 0.1161  1 Fe 1.85, 1 Te 1.94
62 O 0.6048 0.1802 0.4916  1 Al 1.79, 1 Te 1.94
63 O 0.6132 0.6886 0.5084  1 Al 1.79, 1 Te 1.94
64 O 0.6161 0.4222 0.0975  1 Fe 1.85, 1 Te 1.94
65 O 0.6753 0.0778 0.6939  1 Fe 1.85, 1 Te 1.94
66 O 0.6802 0.1048 0.9916  1 Al 1.79, 1 Te 1.94
67 O 0.6886 0.5084 0.6132  1 Al 1.79, 1 Te 1.94
68 O 0.6939 0.6753 0.0778  1 Fe 1.85, 1 Te 1.94
69 O 0.8061 0.8839 0.9813  1 Fe 1.85, 1 Te 1.94
70 O 0.8114 0.4245 0.8198  1 Al 1.79, 1 Te 1.94
71 O 0.8198 0.8114 0.4245  1 Al 1.79, 1 Te 1.94
72 O 0.8247 0.5187 0.4025  1 Fe 1.85, 1 Te 1.94
73 O 0.8839 0.9813 0.8061  1 Fe 1.85, 1 Te 1.94
74 O 0.8868 0.3952 0.0755  1 Al 1.79, 1 Te 1.94
75 O 0.8952 0.3868 0.5755  1 Al 1.79, 1 Te 1.94
76 O 0.9025 0.0187 0.3247  1 Fe 1.85, 1 Te 1.94
77 O 0.9222 0.1161 0.5975  1 Fe 1.85, 1 Te 1.94
78 O 0.9245 0.3114 0.3198  1 Al 1.79, 1 Te 1.94
79 O 0.9813 0.8061 0.8839  1 Fe 1.85, 1 Te 1.94
80 O 0.9916 0.6802 0.1048  1 Al 1.79, 1 Te 1.94

Computed properties:
ΔE_f (raw) ... -66.76 eV/f.u.

***

No. 6
Density functional theory data (PBEsol) for an optimized crystal structure of NaAlFeP2.

Unit cell a=4.5851 b=4.5851 c=4.9308 alpha=90.00 beta=90.00 gamma=90.00
Closest atoms and distances in Å follow each position.
Atoms (fractional coordinates):
1 Na 0.0000 0.0000 0.0000  2 Al 2.47
2 Al 0.0000 0.0000 0.5000  4 P 2.29, 2 Na 2.47
3 Fe 0.5000 0.5000 0.0000  4 Na 3.24, 8 P 3.37
4 P 0.0000 0.5000 0.5000  2 Al 2.29
5 P 0.5000 0.0000 0.5000  2 Al 2.29

Computed properties:
Energy relative to the elements ... 1.071 eV per atom

***

No. 7
Density functional theory data (PBEsol) for an optimized crystal structure of Nb3AlFe.

Unit cell a=4.5400 b=4.5400 c=4.5400 alpha=90.00 beta=90.00 gamma=90.00
Closest atoms and distances in Å follow each position.
Atoms (fractional coordinates):
1 Nb 0.0000 0.0000 0.5000  2 Fe 2.27
2 Nb 0.0000 0.5000 0.0000  2 Fe 2.27
3 Nb 0.5000 0.0000 0.0000  2 Fe 2.27
4 Al 0.5000 0.5000 0.5000  12 Nb 3.21
5 Fe 0.0000 0.0000 0.0000  6 Nb 2.27

Computed properties:
Energy relative to the elements ... 0.570 eV per atom

***

no.,calculated total energy (Ha/atom)
1,-0.3206
2,-0.3366
3,-0.2731
4,-0.2727
5,-0.2337
6,-0.1520
7,-0.3136